[1]
# ErTmSc2

ErTmSc2 after structural relaxation (PBE, Alexandria).

Structure (CIF):
```
data_ErTmSc2
_chemical_formula_sum 'Er4 Tm4 Sc8'
_cell_length_a 6.577
_cell_length_b 8.043
_cell_length_c 8.461
_cell_angle_alpha 90.00
_cell_angle_beta 90.03
_cell_angle_gamma 90.00
_space_group_name_H-M_alt 'P 1 21/c 1'
_space_group_IT_number 14
_space_group_name_Hall '-P 2ybc'
loop_
_atom_site_label
_atom_site_fract_x
_atom_site_fract_y
_atom_site_fract_z
_atom_site_occupancy
Er1 0.125 0.029 0.320 1
Tm1 0.375 0.527 0.180 1
Sc1 0.126 0.668 0.491 1
Sc2 0.376 0.168 0.009 1
```

Output
Polymorph energy (0 for the lowest one), meV per atom: 143.2
ΔE_f, eV per atom: 0.185

---

[2]
# ZnGeBi3

ZnGeBi3 after structural relaxation (PBE, Alexandria).

Structure (CIF):
```
data_ZnGeBi3
_chemical_formula_sum 'Zn1 Ge1 Bi3'
_cell_length_a 5.377
_cell_length_b 5.377
_cell_length_c 5.377
_cell_angle_alpha 90.00
_cell_angle_beta 90.00
_cell_angle_gamma 90.00
_space_group_name_H-M_alt 'P m -3 m'
_space_group_IT_number 221
_space_group_name_Hall '-P 4 2 3'
loop_
_atom_site_label
_atom_site_fract_x
_atom_site_fract_y
_atom_site_fract_z
_atom_site_occupancy
Zn1 0.000 0.000 0.000 1
Ge1 0.500 0.500 0.500 1
Bi1 0.000 0.000 0.500 1
```

Output
Polymorph energy (0 for the lowest one), meV per atom: 0.0
ΔE_f, eV per atom: 0.614

---

[3]
# CePtAu3

CePtAu3 after structural relaxation (PBE, Alexandria).

Structure (CIF):
```
data_CePtAu3
_chemical_formula_sum 'Ce4 Pt4 Au12'
_cell_length_a 7.775
_cell_length_b 5.729
_cell_length_c 9.398
_cell_angle_alpha 90.00
_cell_angle_beta 101.79
_cell_angle_gamma 90.00
_space_group_name_H-M_alt 'P 1 21/c 1'
_space_group_IT_number 14
_space_group_name_Hall '-P 2ybc'
loop_
_atom_site_label
_atom_site_fract_x
_atom_site_fract_y
_atom_site_fract_z
_atom_site_occupancy
Ce1 0.246 0.100 0.118 1
Pt1 0.021 0.183 0.817 1
Au1 0.159 0.591 0.975 1
Au2 0.309 0.594 0.294 1
Au3 0.482 0.197 0.417 1
```

Output
ΔE_f, eV per atom: -0.531

---

[4]
# KRb2CdAg

KRb2CdAg after structural relaxation (PBE, Alexandria).

Structure (CIF):
```
data_KRb2CdAg
_chemical_formula_sum 'K1 Rb2 Cd1 Ag1'
_cell_length_a 6.839
_cell_length_b 6.839
_cell_length_c 5.597
_cell_angle_alpha 90.00
_cell_angle_beta 90.00
_cell_angle_gamma 90.00
_space_group_name_H-M_alt 'P 4/m m m'
_space_group_IT_number 123
_space_group_name_Hall '-P 4 2'
loop_
_atom_site_label
_atom_site_fract_x
_atom_site_fract_y
_atom_site_fract_z
_atom_site_occupancy
K1 0.000 0.000 0.000 1
Rb1 0.000 0.500 0.500 1
Cd1 0.500 0.500 0.000 1
Ag1 0.500 0.500 0.500 1
```

Output
Polymorph energy (0 for the lowest one), meV per atom: 0.0
ΔE_f, eV per atom: 0.061

---

[5]
# TmTe3Au

TmTe3Au after structural relaxation (PBE, Alexandria).

Structure (CIF):
```
data_TmTe3Au
_chemical_formula_sum 'Tm4 Te12 Au4'
_cell_length_a 7.738
_cell_length_b 8.226
_cell_length_c 11.399
_cell_angle_alpha 90.00
_cell_angle_beta 125.18
_cell_angle_gamma 90.00
_space_group_name_H-M_alt 'P 1 21/c 1'
_space_group_IT_number 14
_space_group_name_Hall '-P 2ybc'
loop_
_atom_site_label
_atom_site_fract_x
_atom_site_fract_y
_atom_site_fract_z
_atom_site_occupancy
Tm1 0.201 0.165 0.229 1
Te1 0.078 0.149 0.911 1
Te2 0.212 0.610 0.937 1
Te3 0.412 0.003 0.729 1
Au1 0.493 0.185 0.023 1
```

Output
Formation energy (no corrections), eV per atom: -0.6562

---

[6]
# CsNaHf2B

CsNaHf2B after structural relaxation (PBE, Alexandria).

Structure (CIF):
```
data_CsNaHf2B
_chemical_formula_sum 'Cs1 Na1 Hf2 B1'
_cell_length_a 5.376
_cell_length_b 5.376
_cell_length_c 5.334
_cell_angle_alpha 90.00
_cell_angle_beta 90.00
_cell_angle_gamma 90.00
_space_group_name_H-M_alt 'P 4/m m m'
_space_group_IT_number 123
_space_group_name_Hall '-P 4 2'
loop_
_atom_site_label
_atom_site_fract_x
_atom_site_fract_y
_atom_site_fract_z
_atom_site_occupancy
Cs1 0.000 0.000 0.000 1
Na1 0.000 0.000 0.500 1
Hf1 0.000 0.500 0.000 1
B1 0.500 0.500 0.500 1
```

Output
ΔE_f, eV per atom: 2.944

---

[7]
# TlOsBrN2

TlOsBrN2 after structural relaxation (PBE, Alexandria).

Structure (CIF):
```
data_TlOsBrN2
_chemical_formula_sum 'Tl1 Os1 Br1 N2'
_cell_length_a 4.177
_cell_length_b 4.177
_cell_length_c 6.042
_cell_angle_alpha 90.00
_cell_angle_beta 90.00
_cell_angle_gamma 90.00
_space_group_name_H-M_alt 'P 4/m m m'
_space_group_IT_number 123
_space_group_name_Hall '-P 4 2'
loop_
_atom_site_label
_atom_site_fract_x
_atom_site_fract_y
_atom_site_fract_z
_atom_site_occupancy
Tl1 0.000 0.000 0.000 1
Os1 0.000 0.000 0.500 1
Br1 0.500 0.500 0.500 1
N1 0.000 0.500 0.000 1
```

Output
Formation energy (no corrections), eV per atom: 2.7615

---

[8]
# TmPd7Pb2

TmPd7Pb2 after structural relaxation (PBE, Alexandria).

Structure (CIF):
```
data_TmPd7Pb2
_chemical_formula_sum 'Tm2 Pd14 Pb4'
_cell_length_a 7.421
_cell_length_b 14.393
_cell_length_c 4.224
_cell_angle_alpha 90.00
_cell_angle_beta 90.00
_cell_angle_gamma 90.00
_space_group_name_H-M_alt 'C m m m'
_space_group_IT_number 65
_space_group_name_Hall '-C 2 2'
loop_
_atom_site_label
_atom_site_fract_x
_atom_site_fract_y
_atom_site_fract_z
_atom_site_occupancy
Tm1 0.000 0.000 0.000 1
Pd1 0.000 0.192 0.000 1
Pd2 0.000 0.500 0.500 1
Pd3 0.182 0.099 0.500 1
Pb1 0.000 0.307 0.500 1
```

Output
ΔE_f, eV per atom: -0.137

---

[9]
# NaSrCa2Cu

NaSrCa2Cu after structural relaxation (PBE, Alexandria).

Structure (CIF):
```
data_NaSrCa2Cu
_chemical_formula_sum 'Na1 Sr1 Ca2 Cu1'
_cell_length_a 5.734
_cell_length_b 5.734
_cell_length_c 5.990
_cell_angle_alpha 90.00
_cell_angle_beta 90.00
_cell_angle_gamma 90.00
_space_group_name_H-M_alt 'P 4/m m m'
_space_group_IT_number 123
_space_group_name_Hall '-P 4 2'
loop_
_atom_site_label
_atom_site_fract_x
_atom_site_fract_y
_atom_site_fract_z
_atom_site_occupancy
Na1 0.000 0.000 0.000 1
Sr1 0.500 0.500 0.000 1
Ca1 0.000 0.500 0.500 1
Cu1 0.500 0.500 0.500 1
```

Output
Polymorph energy (0 for the lowest one), meV per atom: 0.0
ΔE_f, eV per atom: 0.001

---

[10]
# PrY2Tl2Hg2

PrY2Tl2Hg2 after structural relaxation (PBE, Alexandria).

Structure (CIF):
```
data_PrY2Tl2Hg2
_chemical_formula_sum 'Pr3 Y6 Tl6 Hg6'
_cell_length_a 5.0261
_cell_length_b 5.0261
_cell_length_c 27.0476
_cell_angle_alpha 90.00
_cell_angle_beta 90.00
_cell_angle_gamma 120.00
_space_group_name_H-M_alt 'R -3 m'
_space_group_IT_number 166
_space_group_name_Hall '-R 3 2"'
loop_
_atom_site_label
_atom_site_fract_x
_atom_site_fract_y
_atom_site_fract_z
_atom_site_occupancy
Pr1 0.0000 0.0000 0.0000 1
Y1 0.0000 0.0000 0.1333 1
Tl1 0.0000 0.0000 0.2697 1
Hg1 0.0000 0.0000 0.4369 1
```

Output
ΔE_f, eV per atom: -0.237

---

[11]
# Na2Tb2SnS6

Na2Tb2SnS6 after structural relaxation (PBE, Alexandria).

Structure (CIF):
```
data_Na2Tb2SnS6
_chemical_formula_sum 'Na4 Tb4 Sn2 S12'
_cell_length_a 6.815
_cell_length_b 11.755
_cell_length_c 7.153
_cell_angle_alpha 90.00
_cell_angle_beta 107.49
_cell_angle_gamma 90.00
_space_group_name_H-M_alt 'C 1 2/m 1'
_space_group_IT_number 12
_space_group_name_Hall '-C 2y'
loop_
_atom_site_label
_atom_site_fract_x
_atom_site_fract_y
_atom_site_fract_z
_atom_site_occupancy
Na1 0.000 0.166 0.000 1
Tb1 0.000 0.333 0.500 1
Sn1 0.000 0.000 0.500 1
S1 0.229 0.161 0.720 1
S2 0.239 0.000 0.283 1
```

Output
Formation energy (no corrections), eV per atom: -1.4009

---

[12]
# BaCoP2

BaCoP2 after structural relaxation (PBE, Alexandria).

Structure (CIF):
```
data_BaCoP2
_chemical_formula_sum 'Ba2 Co2 P4'
_cell_length_a 4.062
_cell_length_b 6.147
_cell_length_c 8.360
_cell_angle_alpha 90.00
_cell_angle_beta 90.00
_cell_angle_gamma 90.00
_space_group_name_H-M_alt 'I m m 2'
_space_group_IT_number 44
_space_group_name_Hall 'I 2 -2'
loop_
_atom_site_label
_atom_site_fract_x
_atom_site_fract_y
_atom_site_fract_z
_atom_site_occupancy
Ba1 0.000 0.000 0.000 1
Co1 0.000 0.500 0.955 1
P1 0.000 0.000 0.389 1
P2 0.000 0.500 0.199 1
```

Output
Polymorph energy (0 for the lowest one), meV per atom: 392.1
ΔE_f, eV per atom: -0.215

---

[13]
# SrRu4Se

SrRu4Se after structural relaxation (PBE, Alexandria).

Structure (CIF):
```
data_SrRu4Se
_chemical_formula_sum 'Sr4 Ru16 Se4'
_cell_length_a 7.550
_cell_length_b 7.550
_cell_length_c 7.550
_cell_angle_alpha 90.00
_cell_angle_beta 90.00
_cell_angle_gamma 90.00
_space_group_name_H-M_alt 'F -4 3 m'
_space_group_IT_number 216
_space_group_name_Hall 'F -4 2 3'
loop_
_atom_site_label
_atom_site_fract_x
_atom_site_fract_y
_atom_site_fract_z
_atom_site_occupancy
Sr1 0.000 0.000 0.000 1
Ru1 0.124 0.124 0.624 1
Se1 0.250 0.250 0.250 1
```

Output
Formation energy (no corrections), eV per atom: 0.5687

---

[14]
# CaEuZnGa

CaEuZnGa after structural relaxation (PBE, Alexandria).

Structure (CIF):
```
data_CaEuZnGa
_chemical_formula_sum 'Ca4 Eu4 Zn4 Ga4'
_cell_length_a 7.421
_cell_length_b 7.421
_cell_length_c 7.421
_cell_angle_alpha 90.00
_cell_angle_beta 90.00
_cell_angle_gamma 90.00
_space_group_name_H-M_alt 'F -4 3 m'
_space_group_IT_number 216
_space_group_name_Hall 'F -4 2 3'
loop_
_atom_site_label
_atom_site_fract_x
_atom_site_fract_y
_atom_site_fract_z
_atom_site_occupancy
Ca1 0.000 0.000 0.000 1
Eu1 0.000 0.000 0.500 1
Zn1 0.250 0.250 0.750 1
Ga1 0.250 0.250 0.250 1
```

Output
ΔE_f, eV per atom: -0.371

---

[15]
# Ho3CoHg2

Ho3CoHg2 after structural relaxation (PBE, Alexandria).

Structure (CIF):
```
data_Ho3CoHg2
_chemical_formula_sum 'Ho6 Co2 Hg4'
_cell_length_a 5.119
_cell_length_b 7.082
_cell_length_c 8.352
_cell_angle_alpha 90.00
_cell_angle_beta 107.68
_cell_angle_gamma 90.00
_space_group_name_H-M_alt 'P 1 21/m 1'
_space_group_IT_number 11
_space_group_name_Hall '-P 2yb'
loop_
_atom_site_label
_atom_site_fract_x
_atom_site_fract_y
_atom_site_fract_z
_atom_site_occupancy
Ho1 0.004 0.250 0.000 1
Ho2 0.368 0.000 0.735 1
Co1 0.496 0.750 0.000 1
Hg1 0.194 0.250 0.389 1
Hg2 0.195 0.750 0.389 1
```

Output
ΔE_f, eV per atom: -0.325

---

[16]
# MgAl2Pb

MgAl2Pb after structural relaxation (PBE, Alexandria).

Structure (CIF):
```
data_MgAl2Pb
_chemical_formula_sum 'Mg2 Al4 Pb2'
_cell_length_a 4.307
_cell_length_b 4.307
_cell_length_c 9.489
_cell_angle_alpha 90.00
_cell_angle_beta 90.00
_cell_angle_gamma 90.00
_space_group_name_H-M_alt 'I 4/m m m'
_space_group_IT_number 139
_space_group_name_Hall '-I 4 2'
loop_
_atom_site_label
_atom_site_fract_x
_atom_site_fract_y
_atom_site_fract_z
_atom_site_occupancy
Mg1 0.000 0.000 0.000 1
Al1 0.000 0.500 0.250 1
Pb1 0.000 0.000 0.500 1
```

Output
ΔE_f, eV per atom: 0.156

---

[17]
# Ce5AlRu

Ce5AlRu after structural relaxation (PBE, Alexandria).

Structure (CIF):
```
data_Ce5AlRu
_chemical_formula_sum 'Ce20 Al4 Ru4'
_cell_length_a 13.026
_cell_length_b 6.285
_cell_length_c 8.823
_cell_angle_alpha 90.00
_cell_angle_beta 110.15
_cell_angle_gamma 90.00
_space_group_name_H-M_alt 'C 1 2/c 1'
_space_group_IT_number 15
_space_group_name_Hall '-C 2yc'
loop_
_atom_site_label
_atom_site_fract_x
_atom_site_fract_y
_atom_site_fract_z
_atom_site_occupancy
Ce1 0.000 0.248 0.250 1
Ce2 0.132 0.496 0.567 1
Ce3 0.215 0.009 0.105 1
Al1 0.000 0.242 0.750 1
Ru1 0.000 0.000 0.000 1
```

Output
ΔE_f, eV per atom: -0.125

---

[18]
# Sm3YHo7

Sm3YHo7 after structural relaxation (PBE, Alexandria).

Structure (CIF):
```
data_Sm3YHo7
_chemical_formula_sum 'Sm3 Y1 Ho7'
_cell_length_a 7.0488
_cell_length_b 7.0488
_cell_length_c 8.6297
_cell_angle_alpha 90.00
_cell_angle_beta 90.00
_cell_angle_gamma 120.00
_space_group_name_H-M_alt 'P 3 m 1'
_space_group_IT_number 156
_space_group_name_Hall 'P 3 -2"'
loop_
_atom_site_label
_atom_site_fract_x
_atom_site_fract_y
_atom_site_fract_z
_atom_site_occupancy
Sm1 0.1669 0.3339 0.0000 1
Y1 0.0000 0.0000 0.3389 1
Ho1 0.0020 0.5010 0.3375 1
Ho2 0.3320 0.1660 0.6646 1
Ho3 0.3333 0.6667 0.6620 1
```

Output
Polymorph energy (0 for the lowest one), meV per atom: 34.6
ΔE_f, eV per atom: 0.183

---

[19]
# CePmCdNi

CePmCdNi after structural relaxation (PBE, Alexandria).

Structure (CIF):
```
data_CePmCdNi
_chemical_formula_sum 'Ce4 Pm4 Cd4 Ni4'
_cell_length_a 7.323
_cell_length_b 7.323
_cell_length_c 7.323
_cell_angle_alpha 90.00
_cell_angle_beta 90.00
_cell_angle_gamma 90.00
_space_group_name_H-M_alt 'F -4 3 m'
_space_group_IT_number 216
_space_group_name_Hall 'F -4 2 3'
loop_
_atom_site_label
_atom_site_fract_x
_atom_site_fract_y
_atom_site_fract_z
_atom_site_occupancy
Ce1 0.000 0.000 0.000 1
Pm1 0.000 0.000 0.500 1
Cd1 0.250 0.250 0.250 1
Ni1 0.250 0.250 0.750 1
```

Output
ΔE_f, eV per atom: -0.107

---

[20]
# CdTeW2

CdTeW2 after structural relaxation (PBE, Alexandria).

Structure (CIF):
```
data_CdTeW2
_chemical_formula_sum 'Cd2 Te2 W4'
_cell_length_a 3.311
_cell_length_b 4.791
_cell_length_c 9.574
_cell_angle_alpha 90.00
_cell_angle_beta 90.00
_cell_angle_gamma 90.00
_space_group_name_H-M_alt 'I m m m'
_space_group_IT_number 71
_space_group_name_Hall '-I 2 2'
loop_
_atom_site_label
_atom_site_fract_x
_atom_site_fract_y
_atom_site_fract_z
_atom_site_occupancy
Cd1 0.000 0.000 0.000 1
Te1 0.000 0.000 0.500 1
W1 0.000 0.500 0.241 1
```

Output
Formation energy (no corrections), eV per atom: 0.9670
Polymorph energy (0 for the lowest one), meV per atom: 534.5